NpRe2Rh | PBE | optimized geometry

Values from the calculation:
**Formation energy from the elements**: 1.92 kcal/mol of atoms
**Magnetic moment**: 0.0 μB per formula unit
**Electronic total energy**: -11.2140 eV per atom

Geometry as CIF:
```
data_NpRe2Rh
_space_group_name_H-M_alt 'P 4/m m m'
_space_group_IT_number 123
_space_group_name_Hall '-P 4 2'
_cell_length_a 4.037
_cell_length_b 4.037
_cell_length_c 3.994
_cell_angle_alpha 90.00
_cell_angle_beta 90.00
_cell_angle_gamma 90.00
loop_
_atom_site_label
_atom_site_fract_x
_atom_site_fract_y
_atom_site_fract_z
Np1 0.000 0.000 0.000
Re1 0.000 0.500 0.500
Rh1 0.500 0.500 0.000
```

***

K2Zn3Cd12Ag | PBE | optimized geometry

Values from the calculation:
**Formation energy from the elements**: 1.12 kcal/mol of atoms
**Magnetic moment**: 0.0 μB per formula unit
**Electronic total energy**: -1.0541 eV per atom

Geometry as CIF:
```
data_K2Zn3Cd12Ag
_space_group_name_H-M_alt 'R -3 m'
_space_group_IT_number 166
_space_group_name_Hall '-R 3 2"'
_cell_length_a 7.4137
_cell_length_b 7.4137
_cell_length_c 30.7847
_cell_angle_alpha 90.00
_cell_angle_beta 90.00
_cell_angle_gamma 120.00
loop_
_atom_site_label
_atom_site_fract_x
_atom_site_fract_y
_atom_site_fract_z
K1 0.0000 0.0000 0.1507
Zn1 0.0000 0.5000 0.0000
Cd1 0.0537 0.5268 0.0946
Cd2 0.0642 0.5321 0.6208
Ag1 0.0000 0.0000 0.5000
```

***

CaTcPb2 | PBE | optimized geometry

Values from the calculation:
**Formation energy from the elements**: 5.50 kcal/mol of atoms
**Magnetic moment**: 0.0 μB per formula unit
**E above lowest polymorph**: 116 meV/atom
**Electronic total energy**: -4.7074 eV per atom

Geometry as CIF:
```
data_CaTcPb2
_space_group_name_H-M_alt 'R -3 m'
_space_group_IT_number 166
_space_group_name_Hall '-R 3 2"'
_cell_length_a 3.6256
_cell_length_b 3.6256
_cell_length_c 26.7037
_cell_angle_alpha 90.00
_cell_angle_beta 90.00
_cell_angle_gamma 120.00
loop_
_atom_site_label
_atom_site_fract_x
_atom_site_fract_y
_atom_site_fract_z
Ca1 0.0000 0.0000 0.0000
Tc1 0.0000 0.0000 0.5000
Pb1 0.0000 0.0000 0.2377
```

***

ReSbIr2 | PBE | optimized geometry

Values from the calculation:
**E_form (uncorrected)**: 1.153 eV per formula unit
**Magnetic moment**: 0.0 μB per formula unit
**Electronic total energy**: -8.2849 eV per atom

Geometry as CIF:
```
data_ReSbIr2
_space_group_name_H-M_alt 'C m m m'
_space_group_IT_number 65
_space_group_name_Hall '-C 2 2'
_cell_length_a 5.597
_cell_length_b 8.000
_cell_length_c 2.871
_cell_angle_alpha 90.00
_cell_angle_beta 90.00
_cell_angle_gamma 90.00
loop_
_atom_site_label
_atom_site_fract_x
_atom_site_fract_y
_atom_site_fract_z
Re1 0.000 0.000 0.000
Sb1 0.000 0.500 0.000
Ir1 0.250 0.250 0.500
```

***

Sc2GaC | PBE | optimized geometry

Values from the calculation:
**Formation energy from the elements**: 7.16 kcal/mol of atoms
**Magnetic moment**: 0.0 μB per formula unit
**E above lowest polymorph**: 843 meV/atom
**Electronic total energy**: -5.9180 eV per atom

Geometry as CIF:
```
data_Sc2GaC
_space_group_name_H-M_alt 'F m -3 m'
_space_group_IT_number 225
_space_group_name_Hall '-F 4 2 3'
_cell_length_a 6.335
_cell_length_b 6.335
_cell_length_c 6.335
_cell_angle_alpha 90.00
_cell_angle_beta 90.00
_cell_angle_gamma 90.00
loop_
_atom_site_label
_atom_site_fract_x
_atom_site_fract_y
_atom_site_fract_z
Sc1 0.250 0.250 0.250
Ga1 0.000 0.000 0.000
C1 0.000 0.000 0.500
```

***

PuAl5Au2 | PBE | optimized geometry

Values from the calculation:
**Formation energy from the elements**: -8.36 kcal/mol of atoms
**Magnetic moment**: 5.6 μB per formula unit
**Electronic total energy**: -5.3126 eV per atom

Geometry as CIF:
```
data_PuAl5Au2
_space_group_name_H-M_alt 'I m m m'
_space_group_IT_number 71
_space_group_name_Hall '-I 2 2'
_cell_length_a 4.085
_cell_length_b 7.408
_cell_length_c 10.070
_cell_angle_alpha 90.00
_cell_angle_beta 90.00
_cell_angle_gamma 90.00
loop_
_atom_site_label
_atom_site_fract_x
_atom_site_fract_y
_atom_site_fract_z
Pu1 0.000 0.000 0.000
Al1 0.000 0.190 0.361
Al2 0.000 0.500 0.000
Au1 0.000 0.500 0.251
```

***

Pm3Pr2Dy6Y | PBE | optimized geometry

Values from the calculation:
**Formation energy from the elements**: 0.31 kcal/mol of atoms
**Magnetic moment**: 0.0 μB per formula unit
**Electronic total energy**: -4.8104 eV per atom

Geometry as CIF:
```
data_Pm3Pr2Dy6Y
_space_group_name_H-M_alt 'C 1 2/m 1'
_space_group_IT_number 12
_space_group_name_Hall '-C 2y'
_cell_length_a 6.247
_cell_length_b 10.816
_cell_length_c 11.891
_cell_angle_alpha 90.00
_cell_angle_beta 100.04
_cell_angle_gamma 90.00
loop_
_atom_site_label
_atom_site_fract_x
_atom_site_fract_y
_atom_site_fract_z
Pm1 0.000 0.000 0.000
Pm2 0.000 0.333 0.000
Pr1 0.000 0.166 0.500
Dy1 0.249 0.500 0.249
Dy2 0.250 0.167 0.249
Y1 0.000 0.500 0.500
```

***

Ca2GeH2 | PBE | optimized geometry

Values from the calculation:
**Magnetic moment**: 0.0 μB per formula unit
**E above lowest polymorph**: 72 meV/atom
**Electronic total energy**: -3.5247 eV per atom

Geometry as CIF:
```
data_Ca2GeH2
_space_group_name_H-M_alt 'C 1 2/c 1'
_space_group_IT_number 15
_space_group_name_Hall '-C 2yc'
_cell_length_a 16.679
_cell_length_b 3.646
_cell_length_c 6.533
_cell_angle_alpha 90.00
_cell_angle_beta 112.29
_cell_angle_gamma 90.00
loop_
_atom_site_label
_atom_site_fract_x
_atom_site_fract_y
_atom_site_fract_z
Ca1 0.146 0.232 0.066
Ge1 0.000 0.294 0.250
H1 0.201 0.265 0.790
```

***

ThZrRe | PBE | optimized geometry

Values from the calculation:
**Formation energy from the elements**: 0.02 kcal/mol of atoms
**Magnetic moment**: 0.0 μB per formula unit
**E above lowest polymorph**: 0 meV/atom
**Electronic total energy**: -9.4713 eV per atom

Geometry as CIF:
```
data_ThZrRe
_space_group_name_H-M_alt 'F d d d'
_space_group_IT_number 70
_cell_length_a 5.613
_cell_length_b 10.287
_cell_length_c 19.426
_cell_angle_alpha 90.00
_cell_angle_beta 90.00
_cell_angle_gamma 90.00
loop_
_space_group_symop_operation_xyz
'x,y,z'
'-x,-y,-z'
'-x+1/4,-y+1/4,z'
'x+1/4,y+1/4,-z'
'x,-y+1/4,-z+1/4'
'-x,y+1/4,z+1/4'
'-x+1/4,y,-z+1/4'
'x+1/4,-y,z+1/4'
'x,y+1/2,z+1/2'
'-x,-y+1/2,-z+1/2'
'-x+1/4,-y+3/4,z+1/2'
'x+1/4,y+3/4,-z+1/2'
'x,-y+3/4,-z+3/4'
'-x,y+3/4,z+3/4'
'-x+1/4,y+1/2,-z+3/4'
'x+1/4,-y+1/2,z+3/4'
'x+1/2,y,z+1/2'
'-x+1/2,-y,-z+1/2'
'-x+3/4,-y+1/4,z+1/2'
'x+3/4,y+1/4,-z+1/2'
'x+1/2,-y+1/4,-z+3/4'
'-x+1/2,y+1/4,z+3/4'
'-x+3/4,y,-z+3/4'
'x+3/4,-y,z+3/4'
'x+1/2,y+1/2,z'
'-x+1/2,-y+1/2,-z'
'-x+3/4,-y+3/4,z'
'x+3/4,y+3/4,-z'
'x+1/2,-y+3/4,-z+1/4'
'-x+1/2,y+3/4,z+1/4'
'-x+3/4,y+1/2,-z+1/4'
'x+3/4,-y+1/2,z+1/4'
loop_
_atom_site_label
_atom_site_fract_x
_atom_site_fract_y
_atom_site_fract_z
Th1 0.125 0.291 0.125
Zr1 0.125 0.125 0.539
Re1 0.125 0.125 0.001
```

***

Sm6Te3As2Au | PBE | optimized geometry

Values from the calculation:
**E_form (uncorrected)**: -16.467 eV per formula unit
**Magnetic moment**: 0.0 μB per formula unit
**Electronic total energy**: -5.5653 eV per atom

Geometry as CIF:
```
data_Sm6Te3As2Au
_space_group_name_H-M_alt 'C 1 2/m 1'
_space_group_IT_number 12
_space_group_name_Hall '-C 2y'
_cell_length_a 19.030
_cell_length_b 4.281
_cell_length_c 8.805
_cell_angle_alpha 90.00
_cell_angle_beta 103.94
_cell_angle_gamma 90.00
loop_
_atom_site_label
_atom_site_fract_x
_atom_site_fract_y
_atom_site_fract_z
Sm1 0.007 0.000 0.240
Sm2 0.165 0.500 0.103
Sm3 0.173 0.500 0.568
Te1 0.000 0.500 0.500
Te2 0.166 0.000 0.832
As1 0.167 0.000 0.335
Au1 0.000 0.500 0.000
```

***

CaNd4Rh2 | PBE | optimized geometry

Values from the calculation:
**Formation energy from the elements**: -5.62 kcal/mol of atoms
**Magnetic moment**: 0.0 μB per formula unit
**E above lowest polymorph**: 132 meV/atom
**Electronic total energy**: -5.3546 eV per atom

Geometry as CIF:
```
data_CaNd4Rh2
_space_group_name_H-M_alt 'P 1'
_space_group_IT_number 1
_space_group_name_Hall 'P 1'
_cell_length_a 7.800
_cell_length_b 7.812
_cell_length_c 8.294
_cell_angle_alpha 107.85
_cell_angle_beta 107.74
_cell_angle_gamma 94.50
loop_
_atom_site_label
_atom_site_fract_x
_atom_site_fract_y
_atom_site_fract_z
Ca1 0.000 0.000 0.000
Ca2 0.026 0.973 0.500
Nd1 0.253 0.707 0.727
Nd2 0.294 0.748 0.275
Nd3 0.296 0.303 0.389
Nd4 0.328 0.270 0.889
Nd5 0.698 0.703 0.611
Nd6 0.730 0.670 0.110
Nd7 0.732 0.226 0.225
Nd8 0.773 0.266 0.773
Rh1 0.013 0.486 0.249
Rh2 0.513 0.487 0.250
Rh3 0.513 0.487 0.750
Rh4 0.513 0.987 0.750
```

***

Ti3TcPt | PBE | optimized geometry

Values from the calculation:
**Formation energy from the elements**: 17.70 kcal/mol of atoms
**Magnetic moment**: 0.0 μB per formula unit
**E above lowest polymorph**: 310 meV/atom
**Electronic total energy**: -7.2507 eV per atom

Geometry as CIF:
```
data_Ti3TcPt
_space_group_name_H-M_alt 'P m -3 m'
_space_group_IT_number 221
_space_group_name_Hall '-P 4 2 3'
_cell_length_a 4.703
_cell_length_b 4.703
_cell_length_c 4.703
_cell_angle_alpha 90.00
_cell_angle_beta 90.00
_cell_angle_gamma 90.00
loop_
_atom_site_label
_atom_site_fract_x
_atom_site_fract_y
_atom_site_fract_z
Ti1 0.000 0.000 0.500
Tc1 0.500 0.500 0.500
Pt1 0.000 0.000 0.000
```

***

CaTcOs2Pd | PBE | optimized geometry

Values from the calculation:
**Formation energy from the elements**: 43.61 kcal/mol of atoms
**Magnetic moment**: 2.9 μB per formula unit
**E above lowest polymorph**: 375 meV/atom
**Electronic total energy**: -6.1130 eV per atom

Geometry as CIF:
```
data_CaTcOs2Pd
_space_group_name_H-M_alt 'P 4/m m m'
_space_group_IT_number 123
_space_group_name_Hall '-P 4 2'
_cell_length_a 4.799
_cell_length_b 4.799
_cell_length_c 4.851
_cell_angle_alpha 90.00
_cell_angle_beta 90.00
_cell_angle_gamma 90.00
loop_
_atom_site_label
_atom_site_fract_x
_atom_site_fract_y
_atom_site_fract_z
Ca1 0.000 0.000 0.000
Tc1 0.500 0.500 0.000
Os1 0.000 0.500 0.500
Pd1 0.500 0.500 0.500
```

***

ScCo2Pt | PBE | optimized geometry

Values from the calculation:
**Formation energy from the elements**: -8.95 kcal/mol of atoms
**Magnetic moment**: 2.9 μB per formula unit
**Electronic total energy**: -7.0343 eV per atom

Geometry as CIF:
```
data_ScCo2Pt
_space_group_name_H-M_alt 'I m m 2'
_space_group_IT_number 44
_space_group_name_Hall 'I 2 -2'
_cell_length_a 3.833
_cell_length_b 3.850
_cell_length_c 7.733
_cell_angle_alpha 90.00
_cell_angle_beta 90.00
_cell_angle_gamma 90.00
loop_
_atom_site_label
_atom_site_fract_x
_atom_site_fract_y
_atom_site_fract_z
Sc1 0.000 0.000 0.000
Co1 0.000 0.000 0.499
Co2 0.000 0.500 0.750
Pt1 0.000 0.500 0.249
```

***

TbCe2Ga2Au2 | PBE | optimized geometry

Values from the calculation:
**Formation energy from the elements**: -14.27 kcal/mol of atoms
**Magnetic moment**: 1.0 μB per formula unit
**Electronic total energy**: -4.7770 eV per atom

Geometry as CIF:
```
data_TbCe2Ga2Au2
_space_group_name_H-M_alt 'R -3 m'
_space_group_IT_number 166
_space_group_name_Hall '-R 3 2"'
_cell_length_a 4.4730
_cell_length_b 4.4730
_cell_length_c 26.8623
_cell_angle_alpha 90.00
_cell_angle_beta 90.00
_cell_angle_gamma 120.00
loop_
_atom_site_label
_atom_site_fract_x
_atom_site_fract_y
_atom_site_fract_z
Tb1 0.0000 0.0000 0.0000
Ce1 0.0000 0.0000 0.1394
Ga1 0.0000 0.0000 0.2606
Au1 0.0000 0.0000 0.4008
```

***

NbTl2CdN | PBE | optimized geometry

Values from the calculation:
**E_form (uncorrected)**: 7.152 eV per formula unit
**Magnetic moment**: 3.2 μB per formula unit
**Electronic total energy**: -3.3781 eV per atom

Geometry as CIF:
```
data_NbTl2CdN
_space_group_name_H-M_alt 'P 4/m m m'
_space_group_IT_number 123
_space_group_name_Hall '-P 4 2'
_cell_length_a 5.783
_cell_length_b 5.783
_cell_length_c 3.853
_cell_angle_alpha 90.00
_cell_angle_beta 90.00
_cell_angle_gamma 90.00
loop_
_atom_site_label
_atom_site_fract_x
_atom_site_fract_y
_atom_site_fract_z
Nb1 0.000 0.000 0.000
Tl1 0.000 0.500 0.500
Cd1 0.500 0.500 0.500
N1 0.500 0.500 0.000
```

***

Ce4Te2AuSe | PBE | optimized geometry

Values from the calculation:
**E_form (uncorrected)**: -9.962 eV per formula unit
**Magnetic moment**: 4.3 μB per formula unit
**Electronic total energy**: -5.8429 eV per atom

Geometry as CIF:
```
data_Ce4Te2AuSe
_space_group_name_H-M_alt 'P 1 2/m 1'
_space_group_IT_number 10
_space_group_name_Hall '-P 2y'
_cell_length_a 7.594
_cell_length_b 4.298
_cell_length_c 7.685
_cell_angle_alpha 90.00
_cell_angle_beta 108.94
_cell_angle_gamma 90.00
loop_
_atom_site_label
_atom_site_fract_x
_atom_site_fract_y
_atom_site_fract_z
Ce1 0.238 0.000 0.232
Ce2 0.256 0.500 0.770
Te1 0.000 0.000 0.500
Te2 0.500 0.500 0.500
Au1 0.500 0.000 0.000
Se1 0.000 0.500 0.000
```

***

K2RhCl | PBE | optimized geometry

Values from the calculation:
**E_form (uncorrected)**: -0.060 eV per formula unit
**Magnetic moment**: 2.0 μB per formula unit
**E above lowest polymorph**: 312 meV/atom
**Electronic total energy**: -2.8633 eV per atom

Geometry as CIF:
```
data_K2RhCl
_space_group_name_H-M_alt 'F m -3 m'
_space_group_IT_number 225
_space_group_name_Hall '-F 4 2 3'
_cell_length_a 7.917
_cell_length_b 7.917
_cell_length_c 7.917
_cell_angle_alpha 90.00
_cell_angle_beta 90.00
_cell_angle_gamma 90.00
loop_
_atom_site_label
_atom_site_fract_x
_atom_site_fract_y
_atom_site_fract_z
K1 0.250 0.250 0.250
Rh1 0.000 0.000 0.000
Cl1 0.000 0.000 0.500
```

***

SrLi2P | PBE | optimized geometry

Values from the calculation:
**Formation energy from the elements**: -8.73 kcal/mol of atoms
**Magnetic moment**: 0.8 μB per formula unit
**Electronic total energy**: -3.1082 eV per atom

Geometry as CIF:
```
data_SrLi2P
_space_group_name_H-M_alt 'P 4/m m m'
_space_group_IT_number 123
_space_group_name_Hall '-P 4 2'
_cell_length_a 4.345
_cell_length_b 4.345
_cell_length_c 4.798
_cell_angle_alpha 90.00
_cell_angle_beta 90.00
_cell_angle_gamma 90.00
loop_
_atom_site_label
_atom_site_fract_x
_atom_site_fract_y
_atom_site_fract_z
Sr1 0.000 0.000 0.000
Li1 0.000 0.500 0.500
P1 0.500 0.500 0.000
```

***

CaTlZn | PBE | optimized geometry

Values from the calculation:
**Formation energy from the elements**: -6.05 kcal/mol of atoms
**Magnetic moment**: 0.0 μB per formula unit
**Electronic total energy**: -2.1429 eV per atom

Geometry as CIF:
```
data_CaTlZn
_space_group_name_H-M_alt 'C 1 2/m 1'
_space_group_IT_number 12
_space_group_name_Hall '-C 2y'
_cell_length_a 17.643
_cell_length_b 4.000
_cell_length_c 4.417
_cell_angle_alpha 90.00
_cell_angle_beta 90.64
_cell_angle_gamma 90.00
loop_
_atom_site_label
_atom_site_fract_x
_atom_site_fract_y
_atom_site_fract_z
Ca1 0.102 0.000 0.252
Tl1 0.205 0.500 0.751
Zn1 0.036 0.500 0.751
```